The following is a DFT calculation (PBE) of a geometry-optimized Li3InSb2 structure.

The value obtained for the total DFT energy (no corrections) is -3.11 eV per atom. The calculation puts the formation energy (no corrections) at -0.321 eV per atom. The size of the total moment comes out at 0.0 μB/f.u. The calculation puts the density at 3.956 Mg/m³. The calculation puts the density of states at the Fermi level at 0.02 states/eV per atom.

The space group is Ibam (No. 72) and the conventional cell measures 6.577, 13.450 and 7.196 Å, with angles of 90.00, 90.00 and 90.00 degrees. Symmetry generates all atoms from Li at (0.000, 0.000, 0.250), Li at (0.000, 0.270, 0.250), In at (0.000, 0.500, 0.000) and Sb at (0.212, 0.141, 0.000).

---

The following is a DFT calculation (PBE) of a geometry-optimized V3Os2Ru structure.

The value obtained for the total DFT energy (no corrections) is -10.08 eV per atom. The size of the total moment comes out at 1.1 μB/f.u. The calculation puts the formation energy from the elements at -0.233 eV/atom. The calculation puts the density at 12.761 Mg/m³. The calculation puts the density of states at the Fermi level at 1.33 states/eV per atom. The value obtained for the distance to the lowest polymorph of the same formula is 4.6 meV/atom.

The space group is P4/mmm (No. 123) and the conventional cell measures 3.010, 3.010 and 9.111 Å, with angles of 90.00, 90.00 and 90.00 degrees. Symmetry generates all atoms from V at (0.000, 0.000, 0.000), V at (0.000, 0.000, 0.333), Os at (0.500, 0.500, 0.169) and Ru at (0.500, 0.500, 0.500).

---

The following is a DFT calculation (PBE) of a geometry-optimized MnFeCoMo structure.

The value obtained for the total DFT energy (no corrections) is -8.82 eV per atom. The size of the total moment comes out at 5.6 μB/f.u. The calculation puts the formation energy from the elements at 0.074 eV/atom. The calculation puts the density at 8.749 Mg/m³. The calculation puts the density of states at the Fermi level at 0.81 states/eV per atom.

The space group is F-43m (No. 216) and the conventional cell measures 5.864, 5.864 and 5.864 Å, with angles of 90.00, 90.00 and 90.00 degrees. Symmetry generates all atoms from Mn at (0.000, 0.000, 0.000), Fe at (0.000, 0.000, 0.500), Co at (0.250, 0.250, 0.250) and Mo at (0.250, 0.250, 0.750).

---

The following is a DFT calculation (PBE) of a geometry-optimized PtRh2Cl structure.

The value obtained for the total DFT energy (no corrections) is -5.37 eV per atom. The calculation puts the formation energy (no corrections) at 0.276 eV per atom. The size of the total moment comes out at 0.1 μB/f.u. The calculation puts the density at 11.518 Mg/m³. The calculation puts the density of states at the Fermi level at 1.49 states/eV per atom. The value obtained for the distance to the lowest polymorph of the same formula is 67.7 meV/atom.

The space group is R3m (No. 160, hexagonal axes) and the conventional cell measures 2.8562, 2.8562 and 26.7127 Å, with angles of 90.00, 90.00 and 120.00 degrees. Symmetry generates all atoms from Pt at (0.0000, 0.0000, 0.0000), Rh at (0.0000, 0.0000, 0.2496), Rh at (0.0000, 0.0000, 0.5063) and Cl at (0.0000, 0.0000, 0.7676).

---

The following is a DFT calculation (PBE) of a geometry-optimized LiTlZnW2 structure.

The value obtained for the total DFT energy (no corrections) is -4.82 eV per atom. The size of the total moment comes out at 0.0 μB/f.u. The calculation puts the formation energy from the elements at 1.475 eV/atom. The calculation puts the density at 12.851 Mg/m³. The calculation puts the density of states at the Fermi level at 1.39 states/eV per atom.

The space group is P4/mmm (No. 123) and the conventional cell measures 4.406, 4.406 and 4.289 Å, with angles of 90.00, 90.00 and 90.00 degrees. Symmetry generates all atoms from Li at (0.000, 0.000, 0.000), Tl at (0.500, 0.500, 0.500), Zn at (0.000, 0.000, 0.500) and W at (0.000, 0.500, 0.000).

---

The following is a DFT calculation (PBE) of a geometry-optimized Ta2Ti5Al4 structure.

The value obtained for the total DFT energy (no corrections) is -7.26 eV per atom. The size of the total moment comes out at 1.1 μB/f.u. The calculation puts the formation energy from the elements at -0.153 eV/atom. The calculation puts the density at 6.333 Mg/m³. The calculation puts the density of states at the Fermi level at 1.16 states/eV per atom.

The space group is P2/m (No. 10) and the conventional cell measures 7.181, 2.762 and 9.395 Å, with angles of 90.00, 93.62 and 90.00 degrees. Symmetry generates all atoms from Ta at (0.063, 0.000, 0.140), Ti at (0.203, 0.000, 0.669), Ti at (0.430, 0.000, 0.210), Ti at (0.500, 0.000, 0.500), Al at (0.167, 0.500, 0.398) and Al at (0.291, 0.500, 0.942).

---

The following is a DFT calculation (PBE) of a geometry-optimized Mg2InGe structure.

The value obtained for the total DFT energy (no corrections) is -2.71 eV per atom. The size of the total moment comes out at 0.0 μB/f.u. The calculation puts the formation energy from the elements at -0.073 eV/atom. The calculation puts the density at 4.585 Mg/m³. The calculation puts the density of states at the Fermi level at 0.38 states/eV per atom.

The space group is P4/mmm (No. 123) and the conventional cell measures 4.563, 4.563 and 4.107 Å, with angles of 90.00, 90.00 and 90.00 degrees. Symmetry generates all atoms from Mg at (0.000, 0.500, 0.000), In at (0.000, 0.000, 0.500) and Ge at (0.500, 0.500, 0.500).

---

The following is a DFT calculation (PBE) of a geometry-optimized Mg2B24C structure.

The value obtained for the total DFT energy (no corrections) is -6.53 eV per atom. The size of the total moment comes out at 0.0 μB/f.u. The calculation puts the formation energy from the elements at -0.133 eV/atom. The calculation puts the density at 2.598 Mg/m³. The calculation puts the density of states at the Fermi level at 0.00 states/eV per atom.

The space group is P-4n2 (No. 118) and the conventional cell measures 8.968, 8.968 and 5.088 Å, with angles of 90.00, 90.00 and 90.00 degrees. Symmetry generates all atoms from Mg at (0.000, 0.000, 0.000), Mg at (0.000, 0.500, 0.250), B at (0.078, 0.241, 0.915), B at (0.080, 0.325, 0.599), B at (0.093, 0.769, 0.087), B at (0.098, 0.694, 0.417), B at (0.116, 0.128, 0.624), B at (0.235, 0.251, 0.415) and C at (0.000, 0.000, 0.500).

---

The following is a DFT calculation (PBE) of a geometry-optimized MnCuCl4 structure.

The value obtained for the total DFT energy (no corrections) is -4.21 eV per atom. The calculation puts the formation energy (no corrections) at -0.769 eV per atom. The size of the total moment comes out at 5.3 μB/f.u. The calculation puts the density at 3.005 Mg/m³. The calculation puts the density of states at the Fermi level at 0.82 states/eV per atom.

The space group is P2_1/c (No. 14) and the conventional cell measures 6.065, 3.726 and 12.984 Å, with angles of 90.00, 101.43 and 90.00 degrees. Symmetry generates all atoms from Mn at (0.000, 0.000, 0.000), Cu at (0.500, 0.000, 0.500), Cl at (0.136, 0.004, 0.393) and Cl at (0.365, 0.058, 0.108).

---

The following is a DFT calculation (PBE) of a geometry-optimized BaCo2Ag structure.

The value obtained for the total DFT energy (no corrections) is -4.50 eV per atom. The size of the total moment comes out at 2.6 μB/f.u. The calculation puts the formation energy from the elements at 0.251 eV/atom. The calculation puts the density at 6.660 Mg/m³. The calculation puts the density of states at the Fermi level at 0.59 states/eV per atom.

The space group is R3m (No. 160, hexagonal axes) and the conventional cell measures 4.2117, 4.2117 and 17.6807 Å, with angles of 90.00, 90.00 and 120.00 degrees. Symmetry generates all atoms from Ba at (0.0000, 0.0000, 0.0000), Co at (0.0000, 0.0000, 0.1976), Co at (0.0000, 0.0000, 0.5273) and Ag at (0.0000, 0.0000, 0.8065).

---

The following is a DFT calculation (PBE) of a geometry-optimized NbTlSe2 structure.

The value obtained for the total DFT energy (no corrections) is -4.91 eV per atom. The calculation puts the formation energy (no corrections) at -0.059 eV per atom. The size of the total moment comes out at 0.0 μB/f.u. The calculation puts the density at 7.828 Mg/m³. The calculation puts the density of states at the Fermi level at 0.71 states/eV per atom.

The space group is R3m (No. 160, hexagonal axes) and the conventional cell measures 3.5954, 3.5954 and 25.8763 Å, with angles of 90.00, 90.00 and 120.00 degrees. Symmetry generates all atoms from Nb at (0.0000, 0.0000, 0.0000), Tl at (0.0000, 0.0000, 0.5789), Se at (0.0000, 0.0000, 0.1776) and Se at (0.0000, 0.0000, 0.7266).

---

The following is a DFT calculation (PBE) of a geometry-optimized Hf2Zr3Sc2 structure.

The value obtained for the total DFT energy (no corrections) is -8.02 eV per atom. The size of the total moment comes out at 0.0 μB/f.u. The calculation puts the formation energy from the elements at 0.296 eV/atom. The calculation puts the density at 7.223 Mg/m³. The calculation puts the density of states at the Fermi level at 1.14 states/eV per atom. The value obtained for the distance to the lowest polymorph of the same formula is 259.6 meV/atom.

The space group is I2_13 (No. 199) and the conventional cell measures 8.718, 8.718 and 8.718 Å, with angles of 90.00, 90.00 and 90.00 degrees. Symmetry generates all atoms from Hf at (0.090, 0.410, 0.590), Zr at (0.000, 0.250, 0.889) and Sc at (0.178, 0.178, 0.178).